Entry 1:
Below is an optimized crystal structure of Cs3Rb3Au4, with properties calculated at the PBE level.

```
data_Cs3Rb3Au4
_space_group_name_H-M_alt 'A m m 2'
_space_group_IT_number 38
_space_group_name_Hall 'A 2 -2'
_cell_length_a 5.197
_cell_length_b 13.176
_cell_length_c 13.121
_cell_angle_alpha 90.00
_cell_angle_beta 90.00
_cell_angle_gamma 90.00
loop_
_atom_site_label
_atom_site_fract_x
_atom_site_fract_y
_atom_site_fract_z
Cs1 0.000 0.000 0.000
Cs2 0.000 0.164 0.338
Rb1 0.000 0.000 0.674
Rb2 0.500 0.248 0.588
Au1 0.500 0.000 0.226
Au2 0.500 0.000 0.454
Au3 0.500 0.112 0.834
```

Results
Fermi-level density of states   0.52 states/eV per atom
V   899 Å³/cell
E_form   -242 kJ/mol of formula units
Total magnetization   0.0 μB/f.u.

Entry 2:
Below is an optimized crystal structure of Cs5Rb5Au6, with properties calculated at the PBE level.

```
data_Cs5Rb5Au6
_space_group_name_H-M_alt 'A m m 2'
_space_group_IT_number 38
_space_group_name_Hall 'A 2 -2'
_cell_length_a 7.733
_cell_length_b 18.315
_cell_length_c 10.642
_cell_angle_alpha 90.00
_cell_angle_beta 90.00
_cell_angle_gamma 90.00
loop_
_atom_site_label
_atom_site_fract_x
_atom_site_fract_y
_atom_site_fract_z
Cs1 0.000 0.000 0.000
Cs2 0.000 0.133 0.404
Cs3 0.500 0.133 0.137
Rb1 0.251 0.165 0.768
Rb2 0.500 0.000 0.539
Au1 0.000 0.000 0.662
Au2 0.000 0.197 0.073
Au3 0.500 0.000 0.876
Au4 0.500 0.195 0.466
```

Results
Fermi-level density of states   0.79 states/eV per atom
V   1507 Å³/cell
E_form   -353 kJ/mol of formula units
Total magnetization   0.0 μB/f.u.

Entry 3:
Below is an optimized crystal structure of CsRb3Au8, with properties calculated at the PBE level.

```
data_CsRb3Au8
_space_group_name_H-M_alt 'R 3 m'
_space_group_IT_number 160
_space_group_name_Hall 'R 3 -2"'
_cell_length_a 5.9570
_cell_length_b 5.9570
_cell_length_c 29.9557
_cell_angle_alpha 90.00
_cell_angle_beta 90.00
_cell_angle_gamma 120.00
loop_
_atom_site_label
_atom_site_fract_x
_atom_site_fract_y
_atom_site_fract_z
Cs1 0.0000 0.0000 0.0000
Rb1 0.0000 0.0000 0.1257
Rb2 0.0000 0.0000 0.5006
Rb3 0.0000 0.0000 0.6253
Au1 0.0000 0.0000 0.3124
Au2 0.0000 0.0000 0.8132
Au3 0.0015 0.5008 0.0649
Au4 0.1676 0.3353 0.8945
```

Results
Fermi-level density of states   0.20 states/eV per atom
V   921 Å³/cell
E_form   -203 kJ/mol of formula units
Total magnetization   0.0 μB/f.u.

Entry 4:
Below is an optimized crystal structure of Cs2RbAu, with properties calculated at the PBE level.

```
data_Cs2RbAu
_space_group_name_H-M_alt 'R -3 m'
_space_group_IT_number 166
_space_group_name_Hall '-R 3 2"'
_cell_length_a 5.1104
_cell_length_b 5.1104
_cell_length_c 40.6240
_cell_angle_alpha 90.00
_cell_angle_beta 90.00
_cell_angle_gamma 120.00
loop_
_atom_site_label
_atom_site_fract_x
_atom_site_fract_y
_atom_site_fract_z
Cs1 0.0000 0.0000 0.1160
Rb1 0.0000 0.0000 0.0000
Au1 0.0000 0.0000 0.5000
```

Results
Energy above the lowest structure with this stoichiometry   0.022 eV per atom
Fermi-level density of states   0.73 states/eV per atom
V   919 Å³/cell
E_form   -60 kJ/mol of formula units
Total magnetization   0.0 μB/f.u.

Entry 5:
Below is an optimized crystal structure of CsRb7Au3, with properties calculated at the PBE level.

```
data_CsRb7Au3
_space_group_name_H-M_alt 'P 3 m 1'
_space_group_IT_number 156
_space_group_name_Hall 'P 3 -2"'
_cell_length_a 10.0151
_cell_length_b 10.0151
_cell_length_c 8.3352
_cell_angle_alpha 90.00
_cell_angle_beta 90.00
_cell_angle_gamma 120.00
loop_
_atom_site_label
_atom_site_fract_x
_atom_site_fract_y
_atom_site_fract_z
Cs1 0.0000 0.0000 0.0000
Rb1 0.1666 0.3333 0.5238
Rb2 0.5031 0.0063 0.0018
Rb3 0.6667 0.3333 0.5227
Au1 0.3363 0.1682 0.7578
```

Results
Energy above the lowest structure with this stoichiometry   0.007 eV per atom
Fermi-level density of states   0.88 states/eV per atom
V   724 Å³/cell
E_form   -164 kJ/mol of formula units
Total magnetization   0.3 μB/f.u.

Entry 6:
Below is an optimized crystal structure of Cs12Rb5Au3, with properties calculated at the PBE level.

```
data_Cs12Rb5Au3
_space_group_name_H-M_alt 'P -6 2 m'
_space_group_IT_number 189
_space_group_name_Hall 'P -6 -2'
_cell_length_a 19.9374
_cell_length_b 19.9374
_cell_length_c 5.3411
_cell_angle_alpha 90.00
_cell_angle_beta 90.00
_cell_angle_gamma 120.00
loop_
_atom_site_label
_atom_site_fract_x
_atom_site_fract_y
_atom_site_fract_z
Cs1 0.0000 0.2071 0.0000
Cs2 0.0000 0.4654 0.0000
Cs3 0.2086 0.4387 0.5000
Rb1 0.0000 0.7280 0.0000
Rb2 0.3333 0.6667 0.0000
Au1 0.0000 0.3342 0.5000
```

Results
Energy above the lowest structure with this stoichiometry   0.000 eV per atom
Fermi-level density of states   0.91 states/eV per atom
V   1839 Å³/cell
E_form   -139 kJ/mol of formula units
Total magnetization   0.0 μB/f.u.

Entry 7:
Below is an optimized crystal structure of CsRb5Au6, with properties calculated at the PBE level.

```
data_CsRb5Au6
_space_group_name_H-M_alt 'C 1 2/m 1'
_space_group_IT_number 12
_space_group_name_Hall '-C 2y'
_cell_length_a 10.299
_cell_length_b 17.864
_cell_length_c 5.956
_cell_angle_alpha 90.00
_cell_angle_beta 125.25
_cell_angle_gamma 90.00
loop_
_atom_site_label
_atom_site_fract_x
_atom_site_fract_y
_atom_site_fract_z
Cs1 0.000 0.000 0.000
Rb1 0.000 0.165 0.500
Rb2 0.000 0.332 0.000
Rb3 0.000 0.500 0.500
Au1 0.239 0.500 0.239
Au2 0.245 0.330 0.744
```

Results
Fermi-level density of states   0.00 states/eV per atom
V   895 Å³/cell
E_form   -327 kJ/mol of formula units
Total magnetization   0.0 μB/f.u.

Entry 8:
Below is an optimized crystal structure of Cs9Rb3Au4, with properties calculated at the PBE level.

```
data_Cs9Rb3Au4
_space_group_name_H-M_alt 'R 3 m'
_space_group_IT_number 160
_space_group_name_Hall 'R 3 -2"'
_cell_length_a 10.1711
_cell_length_b 10.1711
_cell_length_c 39.8681
_cell_angle_alpha 90.00
_cell_angle_beta 90.00
_cell_angle_gamma 120.00
loop_
_atom_site_label
_atom_site_fract_x
_atom_site_fract_y
_atom_site_fract_z
Cs1 0.9999 0.4999 0.0000
Cs2 0.0069 0.5034 0.4433
Cs3 0.1701 0.3403 0.8900
Rb1 0.0000 0.0000 0.0001
Rb2 0.0000 0.0000 0.4409
Rb3 0.0000 0.0000 0.5585
Au1 0.0000 0.0000 0.1655
Au2 0.0000 0.0000 0.2796
Au3 0.0000 0.0000 0.7205
Au4 0.0000 0.0000 0.8345
```

Results
Fermi-level density of states   0.87 states/eV per atom
V   3572 Å³/cell
E_form   -235 kJ/mol of formula units
Total magnetization   0.0 μB/f.u.

Entry 9:
Below is an optimized crystal structure of CsRb14Au, with properties calculated at the PBE level.

```
data_CsRb14Au
_space_group_name_H-M_alt 'A m m 2'
_space_group_IT_number 38
_space_group_name_Hall 'A 2 -2'
_cell_length_a 13.377
_cell_length_b 12.832
_cell_length_c 15.807
_cell_angle_alpha 90.00
_cell_angle_beta 90.00
_cell_angle_gamma 90.00
loop_
_atom_site_label
_atom_site_fract_x
_atom_site_fract_y
_atom_site_fract_z
Cs1 0.000 0.000 0.000
Rb1 0.000 0.248 0.755
Rb2 0.183 0.173 0.495
Rb3 0.225 0.000 0.238
Rb4 0.268 0.000 0.779
Rb5 0.500 0.000 0.019
Rb6 0.500 0.000 0.534
Rb7 0.500 0.222 0.280
Au1 0.000 0.000 0.371
```

Results
Fermi-level density of states   0.88 states/eV per atom
V   2713 Å³/cell
E_form   -13 kJ/mol of formula units
Total magnetization   0.0 μB/f.u.

Entry 10:
Below is an optimized crystal structure of CsRb4Au5, with properties calculated at the PBE level.

```
data_CsRb4Au5
_space_group_name_H-M_alt 'P 4/m m m'
_space_group_IT_number 123
_space_group_name_Hall '-P 4 2'
_cell_length_a 4.213
_cell_length_b 4.213
_cell_length_c 21.059
_cell_angle_alpha 90.00
_cell_angle_beta 90.00
_cell_angle_gamma 90.00
loop_
_atom_site_label
_atom_site_fract_x
_atom_site_fract_y
_atom_site_fract_z
Cs1 0.000 0.000 0.000
Rb1 0.000 0.000 0.205
Rb2 0.000 0.000 0.402
Au1 0.500 0.500 0.108
Au2 0.500 0.500 0.303
Au3 0.500 0.500 0.500
```

Results
Fermi-level density of states   0.00 states/eV per atom
V   374 Å³/cell
E_form   -275 kJ/mol of formula units
Total magnetization   0.0 μB/f.u.

| no. | final energy (eV/atom) |
| --- | --- |
| 1 | -2.108 |
| 2 | -2.027 |
| 3 | -2.673 |
| 4 | -1.644 |
| 5 | -1.742 |
| 6 | -1.317 |
| 7 | -2.396 |
| 8 | -1.633 |
| 9 | -1.113 |
| 10 | -2.396 |